The following is a GGA-PBE calculation of an optimized crystal structure of Mg5Cd2Rh2Au, from Alexandria.

```
data_Mg5Cd2Rh2Au
_space_group_name_H-M_alt 'P 1'
_space_group_IT_number 1
_space_group_name_Hall 'P 1'
_cell_length_a 9.958
_cell_length_b 9.958
_cell_length_c 3.855
_cell_angle_alpha 90.00
_cell_angle_beta 90.00
_cell_angle_gamma 90.00
loop_
_atom_site_label
_atom_site_type_symbol
_atom_site_fract_x
_atom_site_fract_y
_atom_site_fract_z
Mg1 Mg 0.000 0.500 0.000
Mg2 Mg 0.078 0.200 0.000
Mg3 Mg 0.200 0.922 0.000
Mg4 Mg 0.300 0.422 0.000
Mg5 Mg 0.422 0.700 0.000
Mg6 Mg 0.500 0.000 0.000
Mg7 Mg 0.578 0.300 0.000
Mg8 Mg 0.700 0.578 0.000
Mg9 Mg 0.800 0.078 0.000
Mg10 Mg 0.922 0.800 0.000
Cd1 Cd 0.171 0.671 0.500
Cd2 Cd 0.329 0.171 0.500
Cd3 Cd 0.671 0.829 0.500
Cd4 Cd 0.829 0.329 0.500
Rh1 Rh 0.122 0.378 0.500
Rh2 Rh 0.378 0.878 0.500
Rh3 Rh 0.622 0.122 0.500
Rh4 Rh 0.878 0.622 0.500
Au1 Au 0.000 0.000 0.500
Au2 Au 0.500 0.500 0.500
```

Results
- energy of formation from the pure elements (eV/f.u.) = -3.330
- magnetization (μB per cell) = 0.0
- crystal system = tetragonal
- D(E_F) (states/eV per atom) = 0.358
- total DFT energy (no corrections) (eV/cell) = -62.227